(1)
First-principles (GGA-PBE) data for crystalline Li5TlIn4 at its relaxed geometry, as listed in the Alexandria database.

Geometry as CIF:
```
data_Li5TlIn4
_chemical_formula_sum 'Li5 Tl1 In4'
_cell_length_a 3.4448
_cell_length_b 3.4448
_cell_length_c 16.8395
_cell_angle_alpha 90.00
_cell_angle_beta 90.00
_cell_angle_gamma 90.00
_space_group_name_H-M_alt 'P 4/m m m'
_space_group_IT_number 123
_space_group_name_Hall '-P 4 2'
loop_
_atom_site_label
_atom_site_type_symbol
_atom_site_fract_x
_atom_site_fract_y
_atom_site_fract_z
_atom_site_occupancy
Li1 Li 0.0000 0.0000 0.0000 1
Li2 Li 0.0000 0.0000 0.1937 1
Li3 Li 0.0000 0.0000 0.3942 1
Tl1 Tl 0.5000 0.5000 0.5000 1
In1 In 0.5000 0.5000 0.0968 1
In2 In 0.5000 0.5000 0.2929 1
```

Properties
**Calculated volume**: 19.98 Å³/atom
**Total magnetic moment**: 0.000 μB/f.u.
**ΔE_f**: -262.0 meV/atom
**Total energy**: -2.551 eV per atom



(2)
First-principles (GGA-PBE) data for crystalline MgNiP2S at its relaxed geometry, as listed in the Alexandria database.

Geometry as CIF:
```
data_MgNiP2S
_chemical_formula_sum 'Mg1 Ni1 P2 S1'
_cell_length_a 4.7258
_cell_length_b 4.7258
_cell_length_c 4.6702
_cell_angle_alpha 90.00
_cell_angle_beta 90.00
_cell_angle_gamma 90.00
_space_group_name_H-M_alt 'P 4/m m m'
_space_group_IT_number 123
_space_group_name_Hall '-P 4 2'
loop_
_atom_site_label
_atom_site_type_symbol
_atom_site_fract_x
_atom_site_fract_y
_atom_site_fract_z
_atom_site_occupancy
Mg1 Mg 0.0000 0.0000 0.0000 1
Ni1 Ni 0.5000 0.5000 0.5000 1
P1 P 0.0000 0.5000 0.0000 1
S1 S 0.0000 0.0000 0.5000 1
```

Properties
**Calculated volume**: 20.86 Å³/atom
**Total magnetic moment**: 0.469 μB/f.u.
**Total energy**: -3.334 eV per atom
**Formation energy without anion corrections**: 545 kJ/mol of formula units